[1]
Computed, not measured: an optimized crystal structure of AcSmAlTl at the GGA-PBE level of DFT.

The value obtained for the density is 8.3 Mg/m³. The value obtained for the total energy is -64.21 eV/cell.

The space group is F-43m (No. 216) and the conventional cell measures 7.8575, 7.8575 and 7.8575 Å, with angles of 90.00, 90.00 and 90.00 degrees. The inequivalent atoms are Ac at (0.0000, 0.0000, 0.0000), Sm at (0.0000, 0.0000, 0.5000), Al at (0.2500, 0.2500, 0.2500) and Tl at (0.2500, 0.2500, 0.7500).

[2]
Computed, not measured: an optimized crystal structure of AcSmTmAl at the GGA-PBE level of DFT.

The value obtained for the density is 8.0 Mg/m³. The value obtained for the total energy is -66.82 eV/cell.

The space group is F-43m (No. 216) and the conventional cell measures 7.8094, 7.8094 and 7.8094 Å, with angles of 90.00, 90.00 and 90.00 degrees. The inequivalent atoms are Ac at (0.0000, 0.0000, 0.0000), Sm at (0.2500, 0.2500, 0.7500), Tm at (0.2500, 0.2500, 0.2500) and Al at (0.0000, 0.0000, 0.5000).

[3]
Computed, not measured: an optimized crystal structure of AcSmYAl at the GGA-PBE level of DFT.

The value obtained for the density is 6.8 Mg/m³. The value obtained for the total energy is -75.14 eV/cell.

The space group is F-43m (No. 216) and the conventional cell measures 7.8584, 7.8584 and 7.8584 Å, with angles of 90.00, 90.00 and 90.00 degrees. The inequivalent atoms are Ac at (0.0000, 0.0000, 0.0000), Sm at (0.2500, 0.2500, 0.7500), Y at (0.2500, 0.2500, 0.2500) and Al at (0.0000, 0.0000, 0.5000).

[4]
Computed, not measured: an optimized crystal structure of AcSm2Al2Zn2 at the GGA-PBE level of DFT.

The value obtained for the density is 6.6 Mg/m³. The value obtained for the total energy is -76.86 eV/cell.

The space group is R-3m (No. 166, hexagonal axes) and the conventional cell measures 4.5993, 4.5993 and 29.5170 Å, with angles of 90.00, 90.00 and 120.00 degrees. The inequivalent atoms are Ac at (0.0000, 0.0000, 0.0000), Sm at (0.0000, 0.0000, 0.1311), Al at (0.0000, 0.0000, 0.2556) and Zn at (0.0000, 0.0000, 0.4121).

Number 1: ΔH_f (0 K) -1.117 eV/f.u., size of the total moment 0.0 μB/cell. Number 2: ΔH_f (0 K) 0.337 eV/f.u., size of the total moment 0.0 μB/cell. Number 3: ΔH_f (0 K) 0.249 eV/f.u., size of the total moment 0.0 μB/cell. Number 4: ΔH_f (0 K) -2.039 eV/f.u., size of the total moment 0.0 μB/cell.